Compound: LaFePt
Source: the Alexandria database
Functional: PBE
Structure: relaxed

The structure belongs to space group F-43m (No. 216); the cell edges are 6.6712, 6.6712 and 6.6712 Å and the angles 90.00°, 90.00° and 90.00°. The inequivalent atoms are La at (0.0000, 0.0000, 0.0000), Fe at (0.0000, 0.0000, 0.5000) and Pt at (0.2500, 0.2500, 0.2500).

The calculation puts the final energy at -79.57 eV/cell. The energy of formation from the pure elements comes out at -45 kJ/mol of formula units.